Arrangement i

Entry from Alexandria: a relaxed Ta4Nb5Rh2 crystal (PBE).

Structure (CIF):
```
data_Ta4Nb5Rh2
_chemical_formula_sum 'Ta4 Nb5 Rh2'
_cell_length_a 10.4833
_cell_length_b 10.4833
_cell_length_c 7.2372
_cell_angle_alpha 108.64
_cell_angle_beta 108.64
_cell_angle_gamma 15.52
_space_group_name_H-M_alt 'P 1'
_space_group_IT_number 1
_space_group_name_Hall 'P 1'
loop_
_atom_site_label
_atom_site_fract_x
_atom_site_fract_y
_atom_site_fract_z
Ta1 0.0317 0.0317 0.1960
Ta2 0.3866 0.3866 0.0310
Ta3 0.6134 0.6134 0.9690
Ta4 0.9683 0.9683 0.8040
Nb1 0.1801 0.1801 0.3835
Nb2 0.2406 0.2406 0.8239
Nb3 0.5000 0.5000 0.5000
Nb4 0.7594 0.7594 0.1761
Nb5 0.8199 0.8199 0.6165
Rh1 0.1130 0.1130 0.6337
Rh2 0.8870 0.8870 0.3663
```

Calculated values
Volume   18.31 Å³ per atom
DOS(E_F)   10.1 states/eV/f.u.
SG   C2/m
Spin magnetization   0.00 μB per cell

---

Arrangement ii

Entry from Alexandria: a relaxed Ta4Nb5Rh2 crystal (PBE).

Structure (CIF):
```
data_Ta4Nb5Rh2
_chemical_formula_sum 'Ta4 Nb5 Rh2'
_cell_length_a 8.4303
_cell_length_b 8.4303
_cell_length_c 7.2517
_cell_angle_alpha 104.80
_cell_angle_beta 104.80
_cell_angle_gamma 22.74
_space_group_name_H-M_alt 'P 1'
_space_group_IT_number 1
_space_group_name_Hall 'P 1'
loop_
_atom_site_label
_atom_site_fract_x
_atom_site_fract_y
_atom_site_fract_z
Ta1 0.0446 0.0446 0.2206
Ta2 0.3179 0.3179 0.5945
Ta3 0.6821 0.6821 0.4055
Ta4 0.9554 0.9554 0.7794
Nb1 0.1335 0.1335 0.6786
Nb2 0.2270 0.2270 0.1340
Nb3 0.5000 0.5000 0.5000
Nb4 0.7730 0.7730 0.8660
Nb5 0.8665 0.8665 0.3214
Rh1 0.4107 0.4107 0.0442
Rh2 0.5893 0.5893 0.9558
```

Calculated values
Volume   17.49 Å³ per atom
DOS(E_F)   8.6 states/eV/f.u.
SG   C2/m
Spin magnetization   0.00 μB per cell

---

The data favor arrangement ii; the next most stable structure lies 337 meV per atom above it.

---

Arrangement i

Entry from Alexandria: a relaxed TaNbRh crystal (PBE).

Structure (CIF):
```
data_TaNbRh
_chemical_formula_sum 'Ta1 Nb1 Rh1'
_cell_length_a 4.5629
_cell_length_b 4.5629
_cell_length_c 2.8039
_cell_angle_alpha 90.00
_cell_angle_beta 90.00
_cell_angle_gamma 120.00
_space_group_name_H-M_alt 'P 1'
_space_group_IT_number 1
_space_group_name_Hall 'P 1'
loop_
_atom_site_label
_atom_site_fract_x
_atom_site_fract_y
_atom_site_fract_z
Ta1 0.0000 0.0000 0.0000
Nb1 0.3333 0.6667 0.6508
Rh1 0.6667 0.3333 0.3103
```

Calculated values
Volume   16.85 Å³ per atom
DOS(E_F)   4.5 states/eV/f.u.
SG   P3m1
Spin magnetization   0.00 μB per cell

---

Arrangement ii

Entry from Alexandria: a relaxed TaNbRh crystal (PBE).

Structure (CIF):
```
data_TaNbRh
_chemical_formula_sum 'Ta4 Nb4 Rh4'
_cell_length_a 9.5118
_cell_length_b 4.6220
_cell_length_c 4.6544
_cell_angle_alpha 90.00
_cell_angle_beta 90.28
_cell_angle_gamma 90.00
_space_group_name_H-M_alt 'P 1'
_space_group_IT_number 1
_space_group_name_Hall 'P 1'
loop_
_atom_site_label
_atom_site_fract_x
_atom_site_fract_y
_atom_site_fract_z
Ta1 0.0901 0.0000 0.2523
Ta2 0.4099 0.5000 0.7477
Ta3 0.5901 0.5000 0.2523
Ta4 0.9099 0.0000 0.7477
Nb1 0.0812 0.5000 0.7477
Nb2 0.4188 0.0000 0.2523
Nb3 0.5812 0.0000 0.7477
Nb4 0.9188 0.5000 0.2523
Rh1 0.2478 0.0000 0.7624
Rh2 0.2522 0.5000 0.2376
Rh3 0.7478 0.5000 0.7624
Rh4 0.7522 0.0000 0.2376
```

Calculated values
Volume   17.05 Å³ per atom
DOS(E_F)   3.3 states/eV/f.u.
SG   C2/m
Spin magnetization   0.00 μB per cell

---

Arrangement iii

Entry from Alexandria: a relaxed TaNbRh crystal (PBE).

Structure (CIF):
```
data_TaNbRh
_chemical_formula_sum 'Ta2 Nb2 Rh2'
_cell_length_a 2.7926
_cell_length_b 4.6008
_cell_length_c 8.1289
_cell_angle_alpha 90.00
_cell_angle_beta 90.00
_cell_angle_gamma 90.00
_space_group_name_H-M_alt 'P 1'
_space_group_IT_number 1
_space_group_name_Hall 'P 1'
loop_
_atom_site_label
_atom_site_fract_x
_atom_site_fract_y
_atom_site_fract_z
Ta1 0.0000 0.0000 0.0000
Ta2 0.5000 0.5000 0.5000
Nb1 0.0000 0.5000 0.8127
Nb2 0.5000 0.0000 0.3127
Rh1 0.0000 0.0000 0.6355
Rh2 0.5000 0.5000 0.1355
```

Calculated values
Volume   17.41 Å³ per atom
DOS(E_F)   2.8 states/eV/f.u.
SG   Imm2
Spin magnetization   0.00 μB per cell

---

Arrangement iv

Entry from Alexandria: a relaxed TaNbRh crystal (PBE).

Structure (CIF):
```
data_TaNbRh
_chemical_formula_sum 'Ta2 Nb2 Rh2'
_cell_length_a 2.8825
_cell_length_b 2.8825
_cell_length_c 12.2397
_cell_angle_alpha 90.00
_cell_angle_beta 90.00
_cell_angle_gamma 90.00
_space_group_name_H-M_alt 'P 1'
_space_group_IT_number 1
_space_group_name_Hall 'P 1'
loop_
_atom_site_label
_atom_site_fract_x
_atom_site_fract_y
_atom_site_fract_z
Ta1 0.0000 0.0000 0.0000
Ta2 0.5000 0.5000 0.5000
Nb1 0.0000 0.0000 0.6861
Nb2 0.5000 0.5000 0.1860
Rh1 0.0000 0.0000 0.3477
Rh2 0.5000 0.5000 0.8477
```

Calculated values
Volume   16.95 Å³ per atom
DOS(E_F)   3.2 states/eV/f.u.
SG   I4mm
Spin magnetization   0.00 μB per cell

---

The data favor arrangement iv; the next most stable structure lies 29 meV per atom above it.

---

Arrangement i

Entry from Alexandria: a relaxed Ta2NbRh2 crystal (PBE).

Structure (CIF):
```
data_Ta2NbRh2
_chemical_formula_sum 'Ta4 Nb2 Rh4'
_cell_length_a 7.6250
_cell_length_b 7.6250
_cell_length_c 2.9406
_cell_angle_alpha 90.00
_cell_angle_beta 90.00
_cell_angle_gamma 90.00
_space_group_name_H-M_alt 'P 1'
_space_group_IT_number 1
_space_group_name_Hall 'P 1'
loop_
_atom_site_label
_atom_site_fract_x
_atom_site_fract_y
_atom_site_fract_z
Ta1 0.1601 0.3399 0.0000
Ta2 0.3399 0.8399 0.0000
Ta3 0.6601 0.1601 0.0000
Ta4 0.8399 0.6601 0.0000
Nb1 0.0000 0.0000 0.0000
Nb2 0.5000 0.5000 0.0000
Rh1 0.1381 0.6381 0.5000
Rh2 0.3619 0.1381 0.5000
Rh3 0.6381 0.8619 0.5000
Rh4 0.8619 0.3619 0.5000
```

Calculated values
Volume   17.10 Å³ per atom
DOS(E_F)   4.5 states/eV/f.u.
SG   P4/mbm
Spin magnetization   0.00 μB per cell

---

Arrangement ii

Entry from Alexandria: a relaxed Ta2NbRh2 crystal (PBE).

Structure (CIF):
```
data_Ta2NbRh2
_chemical_formula_sum 'Ta4 Nb2 Rh4'
_cell_length_a 7.6200
_cell_length_b 7.6200
_cell_length_c 2.9302
_cell_angle_alpha 90.00
_cell_angle_beta 90.00
_cell_angle_gamma 90.00
_space_group_name_H-M_alt 'P 1'
_space_group_IT_number 1
_space_group_name_Hall 'P 1'
loop_
_atom_site_label
_atom_site_fract_x
_atom_site_fract_y
_atom_site_fract_z
Ta1 0.1675 0.3325 0.0000
Ta2 0.3325 0.8325 0.0000
Ta3 0.6675 0.1675 0.0000
Ta4 0.8325 0.6675 0.0000
Nb1 0.0000 0.0000 0.5000
Nb2 0.5000 0.5000 0.5000
Rh1 0.1306 0.6306 0.5000
Rh2 0.3694 0.1306 0.5000
Rh3 0.6306 0.8694 0.5000
Rh4 0.8694 0.3694 0.5000
```

Calculated values
Volume   17.01 Å³ per atom
DOS(E_F)   4.1 states/eV/f.u.
SG   P4/mbm
Spin magnetization   0.00 μB per cell

---

The data favor arrangement ii; the next most stable structure lies 42 meV per atom above it.

---

Arrangement i

Entry from Alexandria: a relaxed Ta4Nb5Rh crystal (PBE).

Structure (CIF):
```
data_Ta4Nb5Rh
_chemical_formula_sum 'Ta4 Nb5 Rh1'
_cell_length_a 7.7346
_cell_length_b 7.7346
_cell_length_c 6.3923
_cell_angle_alpha 112.58
_cell_angle_beta 112.58
_cell_angle_gamma 33.97
_space_group_name_H-M_alt 'P 1'
_space_group_IT_number 1
_space_group_name_Hall 'P 1'
loop_
_atom_site_label
_atom_site_fract_x
_atom_site_fract_y
_atom_site_fract_z
Ta1 0.0037 0.0037 0.2598
Ta2 0.3361 0.3361 0.5709
Ta3 0.6639 0.6639 0.4291
Ta4 0.9963 0.9963 0.7402
Nb1 0.1707 0.1707 0.1505
Nb2 0.1864 0.1864 0.7210
Nb3 0.5000 0.5000 0.0000
Nb4 0.8136 0.8136 0.2790
Nb5 0.8293 0.8293 0.8495
Rh1 0.5000 0.5000 0.5000
```

Calculated values
Volume   19.57 Å³ per atom
DOS(E_F)   11.3 states/eV/f.u.
SG   C2/m
Spin magnetization   0.00 μB per cell

---

Arrangement ii

Entry from Alexandria: a relaxed Ta4Nb5Rh crystal (PBE).

Structure (CIF):
```
data_Ta4Nb5Rh
_chemical_formula_sum 'Ta4 Nb5 Rh1'
_cell_length_a 3.2938
_cell_length_b 3.2938
_cell_length_c 16.4551
_cell_angle_alpha 90.00
_cell_angle_beta 90.00
_cell_angle_gamma 90.00
_space_group_name_H-M_alt 'P 1'
_space_group_IT_number 1
_space_group_name_Hall 'P 1'
loop_
_atom_site_label
_atom_site_fract_x
_atom_site_fract_y
_atom_site_fract_z
Ta1 0.0000 0.0000 0.1011
Ta2 0.0000 0.0000 0.3040
Ta3 0.0000 0.0000 0.6960
Ta4 0.0000 0.0000 0.8989
Nb1 0.5000 0.5000 0.0000
Nb2 0.5000 0.5000 0.2051
Nb3 0.5000 0.5000 0.4043
Nb4 0.5000 0.5000 0.5957
Nb5 0.5000 0.5000 0.7949
Rh1 0.0000 0.0000 0.5000
```

Calculated values
Volume   17.85 Å³ per atom
DOS(E_F)   11.0 states/eV/f.u.
SG   P4/mmm
Spin magnetization   0.00 μB per cell

---

The data favor arrangement ii; the next most stable structure lies 462 meV per atom above it.